A plane-wave DFT calculation with SCAN was carried out for BaZnCu2 at its PBEsol-relaxed geometry.

Calculated total energy in eV per atom: -20.97
Total moment in μB/cell: 0.00
Volume in Å³/f.u.: 87

Cell lengths 7.356, 4.251, 6.076 Å; angles 90.00, 113.98, 90.00 degrees
Space group Cm (No. 8)
Asymmetric unit:
1 Ba 0.000 0.000 0.000 x2
2 Zn 0.188 0.000 0.567 x2
3 Cu 0.311 0.500 0.436 x2
4 Cu 0.496 0.000 0.491 x2

=====

A plane-wave DFT calculation with SCAN was carried out for BaZnCu2 at its PBEsol-relaxed geometry.

Calculated total energy in eV per atom: -20.67
Total moment in μB/cell: 0.00
Volume in Å³/f.u.: 77

Cell lengths 3.307, 3.307, 6.996 Å; angles 90.00, 90.00, 90.00 degrees
Space group P4/mmm (No. 123)
Asymmetric unit:
1 Ba 0.000 0.000 0.000 x1
2 Zn 0.000 0.000 0.500 x1
3 Cu 0.500 0.500 0.332 x2

=====

A plane-wave DFT calculation with SCAN was carried out for BaZrCu2 at its PBEsol-relaxed geometry.

Calculated total energy in eV per atom: -24.70
Total moment in μB/cell: 0.00
Volume in Å³/f.u.: 90

Cell lengths 4.712, 5.505, 6.974 Å; angles 90.00, 90.00, 90.00 degrees
Space group Immm (No. 71)
Asymmetric unit:
1 Ba 0.000 0.000 0.000 x2
2 Zr 0.000 0.000 0.500 x2
3 Cu 0.000 0.500 0.199 x4

=====

A plane-wave DFT calculation with SCAN was carried out for BaDyFe4O7 at its PBEsol-relaxed geometry.

Total moment in μB/cell: 34.00
Energy relative to the elements, uncorrected in eV per atom: -2.18
Volume in Å³/f.u.: 174

Cell lengths 6.199, 6.199, 9.066 Å; angles 90.00, 90.00, 90.00 degrees
Space group I-4 (No. 82)
Asymmetric unit:
1 Ba 0.000 0.000 0.000 x2
2 Dy 0.000 0.500 0.750 x2
3 Fe 0.017 0.268 0.364 x8
4 O 0.000 0.000 0.500 x2
5 O 0.000 0.500 0.503 x4
6 O 0.199 0.204 0.778 x8

=====

Q: Which of these has the lowest volume?
A: number 2

=====

Q: What is the total moment in the third record?
A: 0.00 μB/cell